[1]
# Sc2Hg

A geometry-optimized Sc2Hg structure (GGA-PBE, the Alexandria database).

Values from the calculation:
raw total energy	-13.2	eV/cell
formation energy	-0.077	eV per atom

POSCAR file:
```
Sc2Hg
1.0
4.7875 0.0000 0.0000
2.3937 4.1461 0.0000
2.3937 1.3820 3.9090
Hg Sc
1 2
Direct
0.0000 0.0000 0.0000
0.7500 0.7500 0.7500
0.2500 0.2500 0.2500
```

[2]
# PmAgSn4

A geometry-optimized PmAgSn4 structure (GGA-PBE, the Alexandria database).

Values from the calculation:
raw total energy	-49.4	eV/cell
formation energy	-0.180	eV per atom

POSCAR file:
```
PmAgSn4
1.0
-2.6590 5.0540 -2.7160
-5.0295 -0.6027 3.7855
7.5932 2.8613 5.2581
Pm Ag Sn
2 2 8
Direct
0.2500 0.7500 0.0000
0.7500 0.2500 0.0000
0.5000 0.5000 0.5000
0.0000 0.0000 0.5000
0.1392 0.1392 0.2790
0.1389 0.6389 0.2788
0.6389 0.1390 0.2789
0.6391 0.6392 0.2790
0.3611 0.8610 0.7211
0.3609 0.3608 0.7210
0.8608 0.8608 0.7210
0.8611 0.3611 0.7212
```

[3]
# Sr2HoCd12Au3

A geometry-optimized Sr2HoCd12Au3 structure (GGA-PBE, the Alexandria database).

Values from the calculation:
raw total energy	-29.0	eV/cell
formation energy	-0.012	eV per atom

POSCAR file:
```
Sr2HoCd12Au3
1.0
-3.2281 8.1775 4.9102
-3.3775 1.1134 9.4210
3.9182 4.9334 7.8556
Sr Ho Cd Au
2 1 12 3
Direct
0.6151 0.6151 0.6151
0.3849 0.3849 0.3849
0.0000 0.0000 0.0000
0.2313 0.2313 0.8484
0.8436 0.8436 0.4827
0.4827 0.8436 0.8436
0.8484 0.2313 0.2313
0.8436 0.4827 0.8436
0.2313 0.8484 0.2313
0.7687 0.7687 0.1516
0.1564 0.1564 0.5173
0.5173 0.1564 0.1564
0.1516 0.7687 0.7687
0.1564 0.5173 0.1564
0.7687 0.1516 0.7687
0.5000 0.0000 0.0000
0.0000 0.5000 0.0000
0.0000 0.0000 0.5000
```

[4]
# TaIn2Au

A geometry-optimized TaIn2Au structure (GGA-PBE, the Alexandria database).

Values from the calculation:
energy above the lowest structure with this stoichiometry	8.74	kcal/mol of atoms
raw total energy	-37.6	eV/cell
formation energy	0.449	eV per atom

POSCAR file:
```
TaIn2Au
1.0
7.6727 0.0000 0.0000
0.0000 7.6727 0.0000
3.8364 3.8364 2.9605
In Au Ta
4 2 2
Direct
0.6427 0.1250 0.2500
0.1073 0.6250 0.2500
0.3750 0.3573 0.7500
0.8750 0.8927 0.7500
0.0000 0.0000 0.0000
0.7500 0.2500 0.5000
0.5000 0.5000 0.0000
0.2500 0.7500 0.5000
```

[5]
# La3SiHg

A geometry-optimized La3SiHg structure (GGA-PBE, the Alexandria database).

Values from the calculation:
energy above the lowest structure with this stoichiometry	7.58	kcal/mol of atoms
raw total energy	-21.2	eV/cell

POSCAR file:
```
La3SiHg
1.0
5.6884 0.0000 0.0000
0.0000 5.6884 0.0000
0.0000 0.0000 5.6884
Si Hg La
1 1 3
Direct
0.0000 0.0000 0.0000
0.5000 0.5000 0.5000
0.0000 0.5000 0.0000
0.0000 0.0000 0.5000
0.5000 0.0000 0.0000
```

[6]
# KNa2Ag2

A geometry-optimized KNa2Ag2 structure (GGA-PBE, the Alexandria database).

Values from the calculation:
energy above the lowest structure with this stoichiometry	0.11	kcal/mol of atoms
raw total energy	-9.3	eV/cell
formation energy	0.020	eV per atom

POSCAR file:
```
KNa2Ag2
1.0
4.8258 0.0000 0.0000
0.0000 4.8258 0.0000
2.4129 2.4129 6.7527
Na K Ag
2 1 2
Direct
0.7500 0.2500 0.5000
0.2500 0.7500 0.5000
0.0000 0.0000 0.0000
0.3971 0.3971 0.2058
0.6029 0.6029 0.7942
```

[7]
# Os5Se3

A geometry-optimized Os5Se3 structure (GGA-PBE, the Alexandria database).

Values from the calculation:
energy above the lowest structure with this stoichiometry	9.93	kcal/mol of atoms
raw total energy	-59.2	eV/cell

POSCAR file:
```
Os5Se3
1.0
3.5423 -4.1535 0.0000
3.5423 4.1535 0.0000
0.0000 0.0000 4.1815
Os Se
5 3
Direct
0.0000 0.0000 0.0000
0.0000 0.5000 0.0000
0.5000 0.0000 0.0000
0.2587 0.2587 0.5000
0.7413 0.7413 0.5000
0.5000 0.5000 0.0000
0.7940 0.2060 0.5000
0.2060 0.7940 0.5000
```

[8]
# CaP2

A geometry-optimized CaP2 structure (GGA-PBE, the Alexandria database).

Values from the calculation:
raw total energy	-55.5	eV/cell
formation energy	-0.353	eV per atom

POSCAR file:
```
CaP2
1.0
-2.9032 2.0944 -3.0510
-1.2687 -4.0307 2.0659
-5.8182 7.2033 10.4811
P Ca
8 4
Direct
0.0000 0.0000 0.0000
0.0000 0.0000 0.5000
0.8379 0.6757 0.2500
0.1621 0.3243 0.7500
0.3243 0.1621 0.2500
0.8379 0.1621 0.2500
0.1621 0.8379 0.7500
0.6757 0.8379 0.7500
0.3333 0.6667 0.0965
0.6667 0.3333 0.5965
0.6667 0.3333 0.9035
0.3333 0.6667 0.4035
```

[9]
# TlBI3

A geometry-optimized TlBI3 structure (GGA-PBE, the Alexandria database).

Values from the calculation:
energy above the lowest structure with this stoichiometry	0.00	kcal/mol of atoms
raw total energy	-60.3	eV/cell

POSCAR file:
```
TlBI3
1.0
-1.1618 1.7597 -7.4595
2.1271 -7.9668 -2.2107
-10.7088 -3.1451 1.0305
Tl B I
4 4 12
Direct
0.9628 0.6020 0.2506
0.5372 0.1020 0.2494
0.0372 0.3980 0.7494
0.4628 0.8980 0.7506
0.4653 0.5771 0.0425
0.0347 0.0771 0.4575
0.5347 0.4229 0.9575
0.9653 0.9229 0.5425
0.1629 0.7215 0.5439
0.3371 0.2215 0.9561
0.8371 0.2785 0.4561
0.6629 0.7785 0.0439
0.9219 0.9919 0.7375
0.5781 0.4919 0.7625
0.0781 0.0081 0.2625
0.4219 0.5081 0.2375
0.7118 0.8167 0.4723
0.7882 0.3167 0.0277
0.2882 0.1833 0.5277
0.2118 0.6833 0.9723
```

[10]
# Ac5DyCd4

A geometry-optimized Ac5DyCd4 structure (GGA-PBE, the Alexandria database).

Values from the calculation:
raw total energy	-31.0	eV/cell
formation energy	-0.215	eV per atom

POSCAR file:
```
Ac5DyCd4
1.0
-2.5851 3.1100 0.0823
-1.1496 -0.8554 -3.7826
-15.2681 -12.8910 7.5555
Ac Dy Cd
5 1 4
Direct
0.5000 0.5000 0.1145
0.5000 0.5000 0.3071
0.5000 0.5000 0.5000
0.5000 0.5000 0.6929
0.5000 0.5000 0.8855
0.0000 0.0000 0.0000
0.0000 0.0000 0.2089
0.0000 0.0000 0.4042
0.0000 0.0000 0.5958
0.0000 0.0000 0.7911
```

[11]
# TlZnRe3

A geometry-optimized TlZnRe3 structure (GGA-PBE, the Alexandria database).

Values from the calculation:
energy above the lowest structure with this stoichiometry	28.67	kcal/mol of atoms
raw total energy	-24.2	eV/cell
formation energy	3.366	eV per atom

POSCAR file:
```
TlZnRe3
1.0
-3.4810 0.3152 -3.5279
-3.1629 -2.5027 2.8974
-1.5940 4.2778 1.9550
Re Tl Zn
3 1 1
Direct
0.0000 0.5000 0.0000
0.0000 0.0000 0.5000
0.5000 0.0000 0.0000
0.0000 0.0000 0.0000
0.5000 0.5000 0.5000
```

[12]
# TbPmSi2Pd5

A geometry-optimized TbPmSi2Pd5 structure (GGA-PBE, the Alexandria database).

Values from the calculation:
raw total energy	-54.4	eV/cell

POSCAR file:
```
TbPmSi2Pd5
1.0
4.2119 0.0000 0.0000
0.0000 4.2119 0.0000
0.0000 0.0000 9.0245
Tb Pm Si Pd
1 1 2 5
Direct
0.0000 0.0000 0.0000
0.0000 0.0000 0.5000
0.5000 0.5000 0.1307
0.5000 0.5000 0.8693
0.0000 0.5000 0.2647
0.5000 0.0000 0.2647
0.0000 0.5000 0.7353
0.5000 0.0000 0.7353
0.5000 0.5000 0.5000
```

[13]
# ZrZnGe2

A geometry-optimized ZrZnGe2 structure (GGA-PBE, the Alexandria database).

Values from the calculation:
raw total energy	-20.3	eV/cell
formation energy	-0.299	eV per atom

POSCAR file:
```
ZrZnGe2
1.0
3.8372 0.0000 0.0000
0.0000 4.2961 0.0000
0.0000 0.0000 4.2961
Ge Zn Zr
2 1 1
Direct
0.0000 0.0000 0.5000
0.0000 0.5000 0.0000
0.5000 0.0000 0.0000
0.5000 0.5000 0.5000
```

[14]
# Sr2YCr2

A geometry-optimized Sr2YCr2 structure (GGA-PBE, the Alexandria database).

Values from the calculation:
energy above the lowest structure with this stoichiometry	2.04	kcal/mol of atoms
raw total energy	-24.8	eV/cell
formation energy	0.846	eV per atom

POSCAR file:
```
Sr2YCr2
1.0
-2.1115 -3.6769 2.0138
3.7525 -0.6523 2.7435
-1.8647 1.9208 7.0226
Y Sr Cr
1 2 2
Direct
0.0000 0.0000 0.0000
0.7500 0.2500 0.5000
0.2500 0.7500 0.5000
0.4342 0.4342 0.1316
0.5658 0.5658 0.8684
```

[15]
# PrGdInAg

A geometry-optimized PrGdInAg structure (GGA-PBE, the Alexandria database).

Values from the calculation:
raw total energy	-26.0	eV/cell
formation energy	-0.382	eV per atom

POSCAR file:
```
PrGdInAg
1.0
5.3775 0.0000 0.0000
2.6888 4.6571 0.0000
2.6888 1.5524 4.3907
Pr Gd Ag In
1 1 1 1
Direct
0.2500 0.2500 0.2500
0.7500 0.7500 0.7500
0.5000 0.5000 0.5000
0.0000 0.0000 0.0000
```

[16]
# BaLi2Sn8

A geometry-optimized BaLi2Sn8 structure (GGA-PBE, the Alexandria database).

Values from the calculation:
raw total energy	-38.7	eV/cell
formation energy	-0.083	eV per atom

POSCAR file:
```
BaLi2Sn8
1.0
-5.9931 -1.3544 1.6449
-0.0692 -4.7841 -4.1910
2.9700 -5.5320 6.2659
Ba Li Sn
1 2 8
Direct
0.5000 0.5000 0.5000
0.5000 0.0000 0.0000
0.0000 0.5000 0.0000
0.7549 0.7549 0.1827
0.7549 0.2451 0.8173
0.7549 0.7549 0.8173
0.7549 0.2451 0.1827
0.2451 0.7549 0.1827
0.2451 0.7549 0.8173
0.2451 0.2451 0.1827
0.2451 0.2451 0.8173
```

[17]
# PrTmSc2As4

A geometry-optimized PrTmSc2As4 structure (GGA-PBE, the Alexandria database).

Values from the calculation:
raw total energy	-51.8	eV/cell
formation energy	-1.406	eV per atom

POSCAR file:
```
PrTmSc2As4
1.0
-3.5365 -1.9130 0.4599
3.3883 -5.8342 1.7870
0.9659 -0.1191 6.9326
Pr Tm Sc As
1 1 2 4
Direct
0.5000 0.5000 0.0000
0.0000 0.5000 0.5000
0.0000 0.0000 0.0000
0.5000 0.0000 0.5000
0.0000 0.7717 0.7356
0.0000 0.2283 0.2644
0.5000 0.7663 0.2516
0.5000 0.2337 0.7484
```

[18]
# Ba2Zn3Sn4Pd

A geometry-optimized Ba2Zn3Sn4Pd structure (GGA-PBE, the Alexandria database).

Values from the calculation:
raw total energy	-33.6	eV/cell
formation energy	-0.474	eV per atom

POSCAR file:
```
Ba2Zn3Sn4Pd
1.0
-4.0848 -1.8023 -1.7428
2.3597 -1.6383 -3.8365
1.9986 -9.7412 5.3891
Ba Zn Sn Pd
2 3 4 1
Direct
0.5000 0.0000 0.2575
0.0000 0.5000 0.7425
0.0000 0.0000 0.5000
0.5000 0.0000 0.8620
0.0000 0.5000 0.1380
0.5000 0.5000 0.0000
0.0000 0.0000 0.0000
0.5000 0.0000 0.6201
0.0000 0.5000 0.3799
0.5000 0.5000 0.5000
```

[19]
# EuLuInGa

A geometry-optimized EuLuInGa structure (GGA-PBE, the Alexandria database).

Values from the calculation:
raw total energy	-22.3	eV/cell
formation energy	-0.422	eV per atom

POSCAR file:
```
EuLuInGa
1.0
5.2703 0.0000 0.0000
2.6351 4.5642 0.0000
2.6351 1.5214 4.3032
Eu Lu Ga In
1 1 1 1
Direct
0.5000 0.5000 0.5000
0.0000 0.0000 0.0000
0.7500 0.7500 0.7500
0.2500 0.2500 0.2500
```

[20]
# TbBeSi

A geometry-optimized TbBeSi structure (GGA-PBE, the Alexandria database).

Values from the calculation:
raw total energy	-31.0	eV/cell

POSCAR file:
```
TbBeSi
1.0
3.8810 0.0000 0.0000
0.0000 4.0650 0.0000
0.0000 0.0000 6.7466
Tb Be Si
2 2 2
Direct
0.0000 0.0000 0.0000
0.5000 0.0000 0.5000
0.0000 0.5000 0.3388
0.0000 0.5000 0.6612
0.5000 0.5000 0.1767
0.5000 0.5000 0.8233
```